Here is crystalline In2BN at its relaxed geometry from the Alexandria database. Energies are from PBE-GGA.

Unit cell a=4.3934 b=4.3934 c=4.3934 alpha=60.00 beta=60.00 gamma=60.00
Last column: nearest neighbours and their distance in Å.
Fractional positions:
B: 0.0000 0.0000 0.0000  8 In 2.69
In: 0.7500 0.7500 0.7500  4 N 2.69, 4 B 2.69
In: 0.2500 0.2500 0.2500  4 N 2.69, 4 B 2.69
N: 0.5000 0.5000 0.5000  8 In 2.69

## Properties
As for the total magnetization: 1.21 μB per formula unit. The energy relative to the elements, uncorrected comes out at 1.4737 eV per atom. For the energy above the most stable polymorph in this dataset, the calculation gives 749 meV/atom. The calculation puts the total energy at -3.646 eV per atom.